MgBiPd2: relaxed, PBE-GGA.

Calculated values
total energy = -4.297 eV/atom

Structure (CIF):
```
data_MgBiPd2
_chemical_formula_sum 'Mg1 Bi1 Pd2'
_cell_length_a 4.732
_cell_length_b 4.732
_cell_length_c 4.732
_cell_angle_alpha 60.00
_cell_angle_beta 60.00
_cell_angle_gamma 60.00
_space_group_name_H-M_alt 'P 1'
_space_group_IT_number 1
_space_group_name_Hall 'P 1'
loop_
_atom_site_label
_atom_site_type_symbol
_atom_site_fract_x
_atom_site_fract_y
_atom_site_fract_z
_atom_site_occupancy
Bi1 Bi 0.500 0.500 0.500 1
Mg1 Mg 0.250 0.250 0.250 1
Pd1 Pd 0.000 0.000 0.000 1
Pd2 Pd 0.750 0.750 0.750 1
```

Mg2BiPd: relaxed, PBE-GGA.

Calculated values
total energy = -3.283 eV/atom

Structure (CIF):
```
data_Mg2BiPd
_chemical_formula_sum 'Mg2 Bi1 Pd1'
_cell_length_a 4.918
_cell_length_b 4.918
_cell_length_c 4.918
_cell_angle_alpha 60.00
_cell_angle_beta 60.00
_cell_angle_gamma 60.00
_space_group_name_H-M_alt 'P 1'
_space_group_IT_number 1
_space_group_name_Hall 'P 1'
loop_
_atom_site_label
_atom_site_type_symbol
_atom_site_fract_x
_atom_site_fract_y
_atom_site_fract_z
_atom_site_occupancy
Bi1 Bi 0.500 0.500 0.500 1
Mg1 Mg 0.000 0.000 0.000 1
Mg2 Mg 0.750 0.750 0.750 1
Pd1 Pd 0.250 0.250 0.250 1
```

Mg2TaBi3Pd3: relaxed, PBE-GGA.

Calculated values
total energy = -5.046 eV/atom

Structure (CIF):
```
data_Mg2TaBi3Pd3
_chemical_formula_sum 'Mg4 Ta2 Bi6 Pd6'
_cell_length_a 7.898
_cell_length_b 7.903
_cell_length_c 7.903
_cell_angle_alpha 119.84
_cell_angle_beta 99.65
_cell_angle_gamma 99.65
_space_group_name_H-M_alt 'P 1'
_space_group_IT_number 1
_space_group_name_Hall 'P 1'
loop_
_atom_site_label
_atom_site_type_symbol
_atom_site_fract_x
_atom_site_fract_y
_atom_site_fract_z
_atom_site_occupancy
Bi1 Bi 0.247 0.917 0.093 1
Bi2 Bi 0.748 0.748 0.257 1
Bi3 Bi 0.255 0.575 0.408 1
Bi4 Bi 0.755 0.408 0.575 1
Bi5 Bi 0.248 0.257 0.748 1
Bi6 Bi 0.747 0.093 0.917 1
Mg1 Mg 0.999 0.503 0.000 1
Mg2 Mg 0.499 0.329 0.162 1
Mg3 Mg 0.999 0.162 0.329 1
Mg4 Mg 0.499 0.000 0.503 1
Pd1 Pd 0.121 0.193 0.026 1
Pd2 Pd 0.621 0.026 0.193 1
Pd3 Pd 0.121 0.872 0.389 1
Pd4 Pd 0.635 0.711 0.561 1
Pd5 Pd 0.135 0.561 0.711 1
Pd6 Pd 0.621 0.389 0.872 1
Ta1 Ta 0.001 0.835 0.669 1
Ta2 Ta 0.501 0.669 0.835 1
```

MgZrBi2Pd2: relaxed, PBE-GGA.

Calculated values
total energy = -5.310 eV/atom

Structure (CIF):
```
data_MgZrBi2Pd2
_chemical_formula_sum 'Mg2 Zr2 Bi4 Pd4'
_cell_length_a 6.497
_cell_length_b 6.497
_cell_length_c 7.990
_cell_angle_alpha 66.01
_cell_angle_beta 66.01
_cell_angle_gamma 90.00
_space_group_name_H-M_alt 'P 1'
_space_group_IT_number 1
_space_group_name_Hall 'P 1'
loop_
_atom_site_label
_atom_site_type_symbol
_atom_site_fract_x
_atom_site_fract_y
_atom_site_fract_z
_atom_site_occupancy
Bi1 Bi 0.497 0.997 0.006 1
Bi2 Bi 0.753 0.753 0.494 1
Bi3 Bi 0.247 0.247 0.506 1
Bi4 Bi 0.003 0.503 0.994 1
Mg1 Mg 0.000 0.000 0.000 1
Mg2 Mg 0.250 0.750 0.500 1
Pd1 Pd 0.125 0.134 0.250 1
Pd2 Pd 0.625 0.616 0.250 1
Pd3 Pd 0.866 0.375 0.750 1
Pd4 Pd 0.384 0.875 0.750 1
Zr1 Zr 0.500 0.500 0.000 1
Zr2 Zr 0.750 0.250 0.500 1
```

PmMgBi: relaxed, PBE-GGA.

Calculated values
total energy = -3.617 eV/atom

Structure (CIF):
```
data_PmMgBi
_chemical_formula_sum 'Pm1 Mg1 Bi1'
_cell_length_a 5.151
_cell_length_b 5.151
_cell_length_c 5.151
_cell_angle_alpha 60.00
_cell_angle_beta 60.00
_cell_angle_gamma 60.00
_space_group_name_H-M_alt 'P 1'
_space_group_IT_number 1
_space_group_name_Hall 'P 1'
loop_
_atom_site_label
_atom_site_type_symbol
_atom_site_fract_x
_atom_site_fract_y
_atom_site_fract_z
_atom_site_occupancy
Bi1 Bi 0.000 0.000 0.000 1
Mg1 Mg 0.250 0.250 0.250 1
Pm1 Pm 0.750 0.750 0.750 1
```

PmMgBi: relaxed, PBE-GGA.

Calculated values
total energy = -3.592 eV/atom

Structure (CIF):
```
data_PmMgBi
_chemical_formula_sum 'Pm1 Mg1 Bi1'
_cell_length_a 5.258
_cell_length_b 5.258
_cell_length_c 5.258
_cell_angle_alpha 60.00
_cell_angle_beta 60.00
_cell_angle_gamma 60.00
_space_group_name_H-M_alt 'P 1'
_space_group_IT_number 1
_space_group_name_Hall 'P 1'
loop_
_atom_site_label
_atom_site_type_symbol
_atom_site_fract_x
_atom_site_fract_y
_atom_site_fract_z
_atom_site_occupancy
Bi1 Bi 0.500 0.500 0.500 1
Mg1 Mg 0.000 0.000 0.000 1
Pm1 Pm 0.250 0.250 0.250 1
```

Mg2BiPt: relaxed, PBE-GGA.

Calculated values
total energy = -3.494 eV/atom

Structure (CIF):
```
data_Mg2BiPt
_chemical_formula_sum 'Mg2 Bi1 Pt1'
_cell_length_a 4.897
_cell_length_b 4.897
_cell_length_c 4.897
_cell_angle_alpha 60.00
_cell_angle_beta 60.00
_cell_angle_gamma 60.00
_space_group_name_H-M_alt 'P 1'
_space_group_IT_number 1
_space_group_name_Hall 'P 1'
loop_
_atom_site_label
_atom_site_type_symbol
_atom_site_fract_x
_atom_site_fract_y
_atom_site_fract_z
_atom_site_occupancy
Bi1 Bi 0.500 0.500 0.500 1
Mg1 Mg 0.000 0.000 0.000 1
Mg2 Mg 0.750 0.750 0.750 1
Pt1 Pt 0.250 0.250 0.250 1
```

Mg4Bi4Pt5: relaxed, PBE-GGA.

Calculated values
total energy = -4.555 eV/atom

Structure (CIF):
```
data_Mg4Bi4Pt5
_chemical_formula_sum 'Mg4 Bi4 Pt5'
_cell_length_a 15.334
_cell_length_b 15.334
_cell_length_c 15.334
_cell_angle_alpha 17.38
_cell_angle_beta 17.38
_cell_angle_gamma 17.38
_space_group_name_H-M_alt 'P 1'
_space_group_IT_number 1
_space_group_name_Hall 'P 1'
loop_
_atom_site_label
_atom_site_type_symbol
_atom_site_fract_x
_atom_site_fract_y
_atom_site_fract_z
_atom_site_occupancy
Bi1 Bi 0.125 0.125 0.125 1
Bi2 Bi 0.377 0.377 0.377 1
Bi3 Bi 0.627 0.627 0.627 1
Bi4 Bi 0.872 0.872 0.872 1
Mg1 Mg 0.002 0.002 0.002 1
Mg2 Mg 0.249 0.249 0.249 1
Mg3 Mg 0.498 0.498 0.498 1
Mg4 Mg 0.749 0.749 0.749 1
Pt1 Pt 0.063 0.063 0.063 1
Pt2 Pt 0.316 0.316 0.316 1
Pt3 Pt 0.562 0.562 0.562 1
Pt4 Pt 0.810 0.810 0.810 1
Pt5 Pt 0.935 0.935 0.935 1
```

MgZrBi2Pt2: relaxed, PBE-GGA.

Calculated values
total energy = -5.717 eV/atom

Structure (CIF):
```
data_MgZrBi2Pt2
_chemical_formula_sum 'Mg2 Zr2 Bi4 Pt4'
_cell_length_a 8.005
_cell_length_b 8.005
_cell_length_c 6.525
_cell_angle_alpha 114.05
_cell_angle_beta 114.05
_cell_angle_gamma 109.60
_space_group_name_H-M_alt 'P 1'
_space_group_IT_number 1
_space_group_name_Hall 'P 1'
loop_
_atom_site_label
_atom_site_type_symbol
_atom_site_fract_x
_atom_site_fract_y
_atom_site_fract_z
_atom_site_occupancy
Bi1 Bi 0.756 0.244 0.000 1
Bi2 Bi 0.244 0.756 0.000 1
Bi3 Bi 0.494 0.506 0.500 1
Bi4 Bi 0.006 0.994 0.500 1
Mg1 Mg 0.000 0.000 0.000 1
Mg2 Mg 0.250 0.750 0.500 1
Pt1 Pt 0.625 0.875 0.013 1
Pt2 Pt 0.862 0.612 0.487 1
Pt3 Pt 0.388 0.138 0.513 1
Pt4 Pt 0.125 0.375 0.987 1
Zr1 Zr 0.500 0.500 0.000 1
Zr2 Zr 0.750 0.250 0.500 1
```

MgReBi: relaxed, PBE-GGA.

Calculated values
total energy = -5.208 eV/atom

Structure (CIF):
```
data_MgReBi
_chemical_formula_sum 'Mg1 Re1 Bi1'
_cell_length_a 4.588
_cell_length_b 4.588
_cell_length_c 4.588
_cell_angle_alpha 60.00
_cell_angle_beta 60.00
_cell_angle_gamma 60.00
_space_group_name_H-M_alt 'P 1'
_space_group_IT_number 1
_space_group_name_Hall 'P 1'
loop_
_atom_site_label
_atom_site_type_symbol
_atom_site_fract_x
_atom_site_fract_y
_atom_site_fract_z
_atom_site_occupancy
Bi1 Bi 0.250 0.250 0.250 1
Mg1 Mg 0.750 0.750 0.750 1
Re1 Re 0.000 0.000 0.000 1
```

Mg2ReBi: relaxed, PBE-GGA.

Calculated values
total energy = -4.281 eV/atom

Structure (CIF):
```
data_Mg2ReBi
_chemical_formula_sum 'Mg2 Re1 Bi1'
_cell_length_a 4.820
_cell_length_b 4.820
_cell_length_c 4.820
_cell_angle_alpha 60.00
_cell_angle_beta 60.00
_cell_angle_gamma 60.00
_space_group_name_H-M_alt 'P 1'
_space_group_IT_number 1
_space_group_name_Hall 'P 1'
loop_
_atom_site_label
_atom_site_type_symbol
_atom_site_fract_x
_atom_site_fract_y
_atom_site_fract_z
_atom_site_occupancy
Bi1 Bi 0.500 0.500 0.500 1
Mg1 Mg 0.000 0.000 0.000 1
Mg2 Mg 0.750 0.750 0.750 1
Re1 Re 0.250 0.250 0.250 1
```

MgReSiBi: relaxed, PBE-GGA.

Calculated values
total energy = -5.314 eV/atom

Structure (CIF):
```
data_MgReSiBi
_chemical_formula_sum 'Mg1 Re1 Si1 Bi1'
_cell_length_a 4.680
_cell_length_b 4.680
_cell_length_c 4.680
_cell_angle_alpha 60.00
_cell_angle_beta 60.00
_cell_angle_gamma 60.00
_space_group_name_H-M_alt 'P 1'
_space_group_IT_number 1
_space_group_name_Hall 'P 1'
loop_
_atom_site_label
_atom_site_type_symbol
_atom_site_fract_x
_atom_site_fract_y
_atom_site_fract_z
_atom_site_occupancy
Bi1 Bi 0.500 0.500 0.500 1
Mg1 Mg 0.750 0.750 0.750 1
Re1 Re 0.250 0.250 0.250 1
Si1 Si 0.000 0.000 0.000 1
```

MgReSnBi: relaxed, PBE-GGA.

Calculated values
total energy = -4.991 eV/atom

Structure (CIF):
```
data_MgReSnBi
_chemical_formula_sum 'Mg1 Re1 Sn1 Bi1'
_cell_length_a 4.874
_cell_length_b 4.874
_cell_length_c 4.874
_cell_angle_alpha 60.00
_cell_angle_beta 60.00
_cell_angle_gamma 60.00
_space_group_name_H-M_alt 'P 1'
_space_group_IT_number 1
_space_group_name_Hall 'P 1'
loop_
_atom_site_label
_atom_site_type_symbol
_atom_site_fract_x
_atom_site_fract_y
_atom_site_fract_z
_atom_site_occupancy
Bi1 Bi 0.500 0.500 0.500 1
Mg1 Mg 0.750 0.750 0.750 1
Re1 Re 0.250 0.250 0.250 1
Sn1 Sn 0.000 0.000 0.000 1
```

MgBiSbW: relaxed, PBE-GGA.

Calculated values
total energy = -4.804 eV/atom

Structure (CIF):
```
data_MgBiSbW
_chemical_formula_sum 'Mg1 Bi1 Sb1 W1'
_cell_length_a 5.024
_cell_length_b 5.024
_cell_length_c 5.024
_cell_angle_alpha 60.00
_cell_angle_beta 60.00
_cell_angle_gamma 60.00
_space_group_name_H-M_alt 'P 1'
_space_group_IT_number 1
_space_group_name_Hall 'P 1'
loop_
_atom_site_label
_atom_site_type_symbol
_atom_site_fract_x
_atom_site_fract_y
_atom_site_fract_z
_atom_site_occupancy
Bi1 Bi 0.000 0.000 0.000 1
Mg1 Mg 0.750 0.750 0.750 1
Sb1 Sb 0.250 0.250 0.250 1
W1 W 0.500 0.500 0.500 1
```